Compound: HgAsOs2
Source: the Alexandria database
Functional: PBE
Structure: relaxed

The total energy is -24.26 eV per formula unit. Its energy of formation is 0.787 eV/atom. The excess energy over the best structure of this formula in the dataset is 391 meV/atom.

It has space group Immm (No. 71), with a = 2.924 Å, b = 4.969 Å, c = 9.078 Å, α = 90.00°, β = 90.00° and γ = 90.00°. The inequivalent atoms are Hg at (0.000, 0.000, 0.000), As at (0.000, 0.000, 0.500) and Os at (0.000, 0.500, 0.220).